Density functional theory data (GGA+U) for a geometry-optimized NaLaCr4O12 structure.

Computed properties:
- DOS at the Fermi energy (states/eV/cell) = 0.22
- uncorrected energy (eV per atom) = -6.83
- V (Å³/f.u.) = 227.8

POSCAR file:
```
NaLaCr4O12
1.0
-5.304 1.455 -1.841
0.918 -5.193 -2.413
-2.789 -3.091 5.592
Na La Cr O
1 1 4 12
Cartesian
-0.941 -6.243 0.425
-2.105 -1.964 -2.135
-1.795 -4.605 3.036
-0.427 -3.089 0.294
-2.733 -5.054 -1.942
-4.100 -6.570 0.800
-2.767 -3.340 3.416
-5.428 -5.608 0.835
-3.954 -3.975 -2.120
-1.293 -1.707 0.461
-5.705 -2.955 2.448
-2.951 -5.364 1.725
-1.785 -4.072 -0.612
-4.048 -1.119 -0.874
0.250 -2.830 -1.440
-5.890 -2.788 -0.134
-1.468 -4.294 -3.106
-3.981 -1.160 1.719
```